# 1
Material: Dy3ErTm2CoTe2
Method: DFT, PBE
State: optimized geometry

The space group is Amm2 (No. 38) and the conventional cell measures 3.8726, 14.3757 and 8.3356 Å, with angles of 90.00, 90.00 and 90.00 degrees. The distinct sites, in fractional coordinates, are Dy at (0.0000, 0.0000, 0.0000), Dy at (0.0000, 0.1185, 0.6444), Er at (0.5000, 0.0000, 0.3647), Tm at (0.5000, 0.1983, 0.9616), Co at (0.5000, 0.0000, 0.7661) and Te at (0.0000, 0.1668, 0.2631).

The calculation puts the spin magnetization at 0.01 μB per atom. Its energy is -5.162 eV/atom.

***

# 2
Material: DyY4Er2Co2Te2
Method: DFT, PBE
State: optimized geometry

The space group is Imm2 (No. 44) and the conventional cell measures 3.8483, 15.6206 and 9.4968 Å, with angles of 90.00, 90.00 and 90.00 degrees. The distinct sites, in fractional coordinates, are Dy at (0.0000, 0.0000, 0.0000), Y at (0.0000, 0.1329, 0.4176), Y at (0.0000, 0.3515, 0.2693), Er at (0.0000, 0.3144, 0.6220), Co at (0.0000, 0.2371, 0.9329), Te at (0.0000, 0.0000, 0.6647) and Te at (0.0000, 0.5000, 0.7637).

The calculation puts the spin magnetization at 0.00 μB per atom. Its energy is -6.076 eV/atom.

***

# 3
Material: Dy3YEr2CoTe2
Method: DFT, PBE
State: optimized geometry

The space group is Amm2 (No. 38) and the conventional cell measures 3.9062, 14.4083 and 8.3867 Å, with angles of 90.00, 90.00 and 90.00 degrees. The distinct sites, in fractional coordinates, are Dy at (0.0000, 0.0000, 0.0000), Dy at (0.0000, 0.1183, 0.6466), Y at (0.5000, 0.0000, 0.3644), Er at (0.5000, 0.1987, 0.9640), Co at (0.5000, 0.0000, 0.7697) and Te at (0.0000, 0.1670, 0.2646).

The calculation puts the spin magnetization at 0.00 μB per atom. Its energy is -5.412 eV/atom.

***

Q: The highest energy belongs to which entry?
A: Dy3ErTm2CoTe2

***

Q: Look up the energy of the second one.
A: -6.076 eV/atom

***

What did the second record say?
Material: DyY4Er2Co2Te2
Method: DFT, PBE
State: optimized geometry

The space group is Imm2 (No. 44) and the conventional cell measures 3.8483, 15.6206 and 9.4968 Å, with angles of 90.00, 90.00 and 90.00 degrees. The distinct sites, in fractional coordinates, are Dy at (0.0000, 0.0000, 0.0000), Y at (0.0000, 0.1329, 0.4176), Y at (0.0000, 0.3515, 0.2693), Er at (0.0000, 0.3144, 0.6220), Co at (0.0000, 0.2371, 0.9329), Te at (0.0000, 0.0000, 0.6647) and Te at (0.0000, 0.5000, 0.7637).

The calculation puts the spin magnetization at 0.00 μB per atom. Its energy is -6.076 eV/atom.

***

Q: Among the records above, which one has the lowest energy?
A: DyY4Er2Co2Te2